1.
# Dy3Tm4Th2 PBE relaxed
# **Space-group type**: C2/c
# **Calculated total energy**: -0.1855 hartree per atom
# **Energy of formation**: 0.122 eV/atom
data_Dy3Tm4Th2
_symmetry_space_group_name_H-M 'P 1'
_symmetry_Int_Tables_number 1
_symmetry_space_group_name_Hall 'P 1'
_cell_length_a 6.053
_cell_length_b 11.051
_cell_length_c 11.051
_cell_angle_alpha 63.18
_cell_angle_beta 63.30
_cell_angle_gamma 63.30
loop_
_atom_site_label
_atom_site_fract_x
_atom_site_fract_y
_atom_site_fract_z
Th1 0.082 0.478 0.751
Th2 0.582 0.751 0.478
Th3 0.918 0.522 0.249
Th4 0.418 0.249 0.522
Dy1 0.250 0.611 0.389
Dy2 0.757 0.058 0.275
Dy3 0.257 0.275 0.058
Dy4 0.750 0.389 0.611
Dy5 0.243 0.942 0.725
Dy6 0.743 0.725 0.942
Tm1 0.578 0.085 0.817
Tm2 0.078 0.817 0.085
Tm3 0.408 0.585 0.855
Tm4 0.092 0.145 0.415
Tm5 0.908 0.855 0.585
Tm6 0.922 0.183 0.915
Tm7 0.422 0.915 0.183
Tm8 0.592 0.415 0.145

2.
# DyTm2Th5 PBE relaxed
# **Space-group type**: I4mm
# **Offset from the most stable computed form**: 0 meV/atom
# **Calculated total energy**: -0.2310 hartree per atom
# **Energy of formation**: 0.044 eV/atom
data_DyTm2Th5
_symmetry_space_group_name_H-M 'P 1'
_symmetry_Int_Tables_number 1
_symmetry_space_group_name_Hall 'P 1'
_cell_length_a 7.109
_cell_length_b 7.109
_cell_length_c 7.109
_cell_angle_alpha 89.43
_cell_angle_beta 120.33
_cell_angle_gamma 120.33
loop_
_atom_site_label
_atom_site_fract_x
_atom_site_fract_y
_atom_site_fract_z
Th1 0.499 0.722 0.722
Th2 0.501 0.223 0.223
Th3 0.000 0.722 0.223
Th4 0.000 0.723 0.723
Th5 0.000 0.223 0.722
Tm1 0.500 0.222 0.722
Tm2 0.500 0.722 0.222
Dy1 0.000 0.222 0.222

3.
# Dy3TmTh3 PBE relaxed
# **Space-group type**: P6_3/m
# **Offset from the most stable computed form**: 5 meV/atom
# **Calculated total energy**: -0.2111 hartree per atom
# **Energy of formation**: 0.045 eV/atom
data_Dy3TmTh3
_symmetry_space_group_name_H-M 'P 1'
_symmetry_Int_Tables_number 1
_symmetry_space_group_name_Hall 'P 1'
_cell_length_a 5.778
_cell_length_b 9.485
_cell_length_c 9.485
_cell_angle_alpha 120.00
_cell_angle_beta 90.00
_cell_angle_gamma 90.00
loop_
_atom_site_label
_atom_site_fract_x
_atom_site_fract_y
_atom_site_fract_z
Th1 0.750 0.382 0.486
Th2 0.750 0.104 0.618
Th3 0.250 0.896 0.382
Th4 0.250 0.486 0.104
Th5 0.250 0.618 0.514
Th6 0.750 0.514 0.896
Dy1 0.750 0.956 0.195
Dy2 0.250 0.044 0.805
Dy3 0.250 0.195 0.239
Dy4 0.250 0.761 0.956
Dy5 0.750 0.239 0.044
Dy6 0.750 0.805 0.761
Tm1 0.750 0.667 0.333
Tm2 0.250 0.333 0.667